[1]
## MgGeO3 (PBE)

Data for a relaxed MgGeO3 crystal.

Lattice parameters (Å, degrees): 4.950 4.950 7.023 90.00 90.00 146.52
Fractional positions:
Mg 0.261 0.739 0.750
Mg 0.739 0.261 0.250
Ge 0.000 0.000 0.000
Ge 0.000 0.000 0.500
O 0.631 0.369 0.560
O 0.084 0.916 0.250
O 0.631 0.369 0.940
O 0.369 0.631 0.440
O 0.369 0.631 0.060
O 0.916 0.084 0.750

Calculated values
SG	No. 63
crystal system	orthorhombic
formation energy without anion corrections	-9.9	eV/f.u.
D(E_F)	0.000	states/eV/atom

=====

[2]
## Ac2CdGaHg6 (PBE)

Data for a relaxed Ac2CdGaHg6 crystal.

Lattice parameters (Å, degrees): 7.618 7.436 5.842 66.67 67.08 74.59
Fractional positions:
Hg 0.178 0.318 0.503
Hg 0.185 0.314 0.001
Hg 0.822 0.682 0.497
Hg 0.416 0.933 0.823
Hg 0.815 0.686 0.999
Hg 0.584 0.067 0.177
Ac 0.243 0.768 0.495
Ac 0.757 0.232 0.505
Ga 0.000 0.000 0.000
Cd 0.500 0.500 0.000

Calculated values
SG	No. 2
crystal system	triclinic
formation energy from the elements	-0.26	eV per atom
D(E_F)	0.554	states/eV/atom

=====

[3]
## K12Se6O (PBE)

Data for a relaxed K12Se6O crystal.

Lattice parameters (Å, degrees): 9.182 9.182 9.182 98.62 98.62 98.62
Last column: magnetic moment on the atom in μB.
Fractional positions:
O 0.000 0.000 0.000  0.31
K 0.178 0.447 0.593  0.01
K 0.944 0.041 0.703  0.00
K 0.822 0.553 0.407  0.01
K 0.407 0.822 0.553  0.01
K 0.447 0.593 0.178  0.01
K 0.056 0.959 0.297  0.00
K 0.041 0.703 0.944  0.00
K 0.297 0.056 0.959  0.00
K 0.703 0.944 0.041  0.00
K 0.553 0.407 0.822  0.01
K 0.959 0.297 0.056  0.00
K 0.593 0.178 0.447  0.01
Se 0.865 0.390 0.713  0.18
Se 0.390 0.713 0.865  0.18
Se 0.287 0.135 0.610  0.18
Se 0.713 0.865 0.390  0.18
Se 0.135 0.610 0.287  0.18
Se 0.610 0.287 0.135  0.18

Calculated values
SG	No. 148
crystal system	trigonal
formation energy without anion corrections	-18.5	eV/f.u.
D(E_F)	2.049	states/eV/atom

=====

[4]
## CrCSCl2 (PBE)

Data for a relaxed CrCSCl2 crystal.

Lattice parameters (Å, degrees): 4.551 4.551 4.071 90.00 90.00 90.00
Last column: magnetic moment on the atom in μB.
Fractional positions:
S 0.000 0.000 0.500  -0.19
C 0.000 0.000 0.000  0.06
Cl 0.500 0.000 0.000  -0.03
Cl 0.000 0.500 0.000  -0.03
Cr 0.500 0.500 0.500  4.03

Calculated values
SG	No. 123
crystal system	tetragonal
energy above the lowest structure with this stoichiometry	0	meV per atom
formation energy without anion corrections	5.1	eV/f.u.
D(E_F)	0.700	states/eV/atom

=====

[5]
## Sm6Y3HoEr2 (PBE)

Data for a relaxed Sm6Y3HoEr2 crystal.

Lattice parameters (Å, degrees): 6.219 6.219 11.810 95.02 95.02 119.98
Fractional positions:
Sm 0.750 0.750 0.248
Sm 0.250 0.250 0.752
Sm 0.083 0.417 0.248
Sm 0.417 0.083 0.248
Sm 0.583 0.917 0.752
Sm 0.917 0.583 0.752
Y 0.833 0.167 0.500
Y 0.167 0.833 0.500
Y 0.500 0.500 0.500
Ho 0.000 0.000 0.000
Er 0.667 0.333 0.000
Er 0.333 0.667 0.000

Calculated values
SG	No. 12
crystal system	monoclinic
formation energy from the elements	0.01	eV per atom
D(E_F)	1.216	states/eV/atom

=====

[6]
## NdErPd2 (PBE)

Data for a relaxed NdErPd2 crystal.

Lattice parameters (Å, degrees): 3.481 3.481 7.359 90.00 90.00 90.00
Fractional positions:
Pd 0.000 0.000 0.774
Pd 0.000 0.000 0.226
Nd 0.500 0.500 0.500
Er 0.500 0.500 0.000

Calculated values
SG	No. 123
crystal system	tetragonal
energy above the lowest structure with this stoichiometry	40	meV per atom
formation energy from the elements	-0.82	eV per atom
D(E_F)	0.779	states/eV/atom

=====

[7]
## Hf8Zr2Os (PBE)

Data for a relaxed Hf8Zr2Os crystal.

Lattice parameters (Å, degrees): 4.925 5.714 8.821 92.76 106.24 89.99
Fractional positions:
Hf 0.578 0.605 0.156
Hf 0.422 0.395 0.844
Hf 0.344 0.878 0.687
Hf 0.153 0.809 0.306
Hf 0.847 0.191 0.694
Hf 0.656 0.122 0.313
Hf 0.958 0.733 0.915
Hf 0.042 0.267 0.085
Os 0.500 0.000 0.000
Zr 0.235 0.333 0.470
Zr 0.765 0.667 0.530

Calculated values
SG	No. 12
crystal system	monoclinic
formation energy from the elements	-0.10	eV per atom
D(E_F)	0.882	states/eV/atom

=====

[8]
## SbWCl2 (PBE)

Data for a relaxed SbWCl2 crystal.

Lattice parameters (Å, degrees): 3.237 3.237 9.950 90.00 90.00 122.40
Last column: magnetic moment on the atom in μB.
Fractional positions:
W 0.500 0.500 0.762  0.52
Sb 0.000 0.000 0.508  0.00
Cl 0.500 0.500 0.283  0.03
Cl 0.000 0.000 0.947  0.02

Calculated values
SG	No. 35
crystal system	orthorhombic
energy above the lowest structure with this stoichiometry	420	meV per atom
formation energy without anion corrections	1.2	eV/f.u.
D(E_F)	0.871	states/eV/atom

=====

no.,E (eV per atom)
1,-6.203
2,-1.653
3,-3.028
4,-4.308
5,-5.103
6,-5.753
7,-9.910
8,-4.903